Material: CsGaMoF6
Method: DFT, PBE with a Hubbard U
State: relaxed

Geometry as POSCAR:
```
CsGaMoF6
1.0
5.6907 0.0087 -0.0052
2.8511 4.9451 -0.0082
-0.0065 -0.0068 6.3798
Cs Ga Mo F
1 1 1 6
Cartesian
8.5205 4.9402 6.3651
2.8396 1.6440 3.1855
5.6772 3.2951 3.1805
1.2586 1.7426 2.0881
2.1456 0.2275 4.2938
4.4543 1.7755 4.2590
1.9332 3.0017 4.2427
3.7511 2.9778 2.1027
3.5533 0.1771 2.1272
```

## Properties
Crystal system: triclinic
SG: P1 (1)
Density: 3.819 g/cm3
Energy: -43.893 eV for the cell shown